No. 1
Compound: NpRuN2
Source: the Alexandria database
Functional: PBE
Structure: relaxed

Structure (POSCAR):
```
NpRuN2
1.0
3.399 0.000 0.000
1.700 2.944 0.000
1.700 0.981 4.691
Np Ru N
1 1 2
Direct
0.000 0.000 0.000
0.500 0.500 0.500
0.239 0.239 0.282
0.761 0.761 0.718
```

Electronic total energy (eV/atom): -10.24
Magnetization (Bohr magnetons per cell): 3.00
Formation energy (no corrections) (eV per atom): -0.519


No. 2
Compound: Np5Ru3N12
Source: the Alexandria database
Functional: PBE
Structure: relaxed

Structure (POSCAR):
```
Np5Ru3N12
1.0
-4.237 6.036 -8.194
6.411 -7.920 -4.206
-8.180 -4.585 5.796
Ru Np N
12 20 48
Direct
0.750 0.375 0.125
0.875 0.750 0.125
0.375 0.750 0.625
0.250 0.125 0.375
0.875 0.125 0.250
0.375 0.625 0.250
0.625 0.375 0.750
0.125 0.875 0.750
0.750 0.875 0.625
0.625 0.250 0.375
0.125 0.250 0.875
0.250 0.625 0.875
0.125 0.375 0.250
0.000 0.500 0.000
0.000 0.000 0.000
0.375 0.250 0.125
0.500 0.000 0.500
0.500 0.500 0.000
0.125 0.750 0.375
0.750 0.125 0.875
0.750 0.625 0.375
0.375 0.125 0.750
0.625 0.875 0.250
0.500 0.500 0.500
0.500 0.000 0.000
0.000 0.000 0.500
0.250 0.375 0.625
0.250 0.875 0.125
0.000 0.500 0.500
0.875 0.250 0.625
0.625 0.750 0.875
0.875 0.625 0.750
0.731 0.114 0.054
0.324 0.554 0.440
0.946 0.386 0.269
0.554 0.231 0.114
0.616 0.731 0.676
0.946 0.560 0.176
0.324 0.769 0.384
0.060 0.884 0.114
0.560 0.946 0.676
0.731 0.616 0.176
0.769 0.446 0.386
0.824 0.940 0.054
0.114 0.731 0.554
0.386 0.440 0.116
0.116 0.940 0.386
0.384 0.114 0.560
0.116 0.176 0.231
0.446 0.676 0.060
0.824 0.884 0.269
0.114 0.384 0.060
0.386 0.946 0.769
0.560 0.614 0.384
0.940 0.824 0.554
0.769 0.324 0.884
0.440 0.386 0.616
0.060 0.176 0.446
0.231 0.676 0.116
0.176 0.116 0.731
0.614 0.054 0.231
0.886 0.616 0.940
0.554 0.324 0.940
0.616 0.886 0.440
0.884 0.824 0.769
0.884 0.060 0.614
0.886 0.269 0.446
0.176 0.060 0.946
0.614 0.560 0.884
0.440 0.054 0.324
0.269 0.384 0.824
0.231 0.554 0.614
0.940 0.116 0.886
0.676 0.231 0.616
0.446 0.769 0.886
0.054 0.440 0.824
0.384 0.269 0.324
0.054 0.614 0.731
0.676 0.446 0.560
0.269 0.886 0.946
```

Electronic total energy (eV/atom): -9.57
Magnetization (Bohr magnetons per cell): 37.64
Formation energy (no corrections) (eV per atom): 0.051


No. 3
Compound: NpRuN
Source: the Alexandria database
Functional: PBE
Structure: relaxed

Structure (POSCAR):
```
NpRuN
1.0
-0.670 1.588 3.627
2.667 -2.538 1.603
1.266 2.546 -3.104
Np Ru N
1 1 1
Direct
0.936 0.936 0.871
0.298 0.298 0.595
0.617 0.617 0.234
```

Electronic total energy (eV/atom): -9.96
Magnetization (Bohr magnetons per cell): 2.00
Formation energy (no corrections) (eV per atom): 0.222
E above lowest polymorph (eV per atom): 0.398


No. 4
Compound: NpRuN
Source: the Alexandria database
Functional: PBE
Structure: relaxed

Structure (POSCAR):
```
NpRuN
1.0
-0.970 1.808 3.772
-0.137 -3.131 1.465
2.985 1.748 -0.070
Np Ru N
1 1 1
Direct
0.280 0.667 0.333
0.665 0.333 0.667
0.055 0.000 0.000
```

Electronic total energy (eV/atom): -10.31
Magnetization (Bohr magnetons per cell): 1.60
Formation energy (no corrections) (eV per atom): -0.132
E above lowest polymorph (eV per atom): 0.043


Which of these has the highest magnetization?
Np5Ru3N12